Density functional theory data (PBE-GGA) for CaMg2Sb after structural relaxation.

The raw total energy is -2.63 eV per atom. As for the raw formation energy: -0.306 eV per atom.

The space group is C2/m (No. 12) and the conventional cell measures 12.6333, 3.7221 and 5.0914 Å, with angles of 90.00, 113.53 and 90.00 degrees. The distinct sites, in fractional coordinates, are Ca at (0.0000, 0.0000, 0.0000), Mg at (0.2183, 0.0000, 0.7187) and Sb at (0.0000, 0.5000, 0.5000).